# 1
Entry from Alexandria via LeMat-Bulk: a relaxed structure of Cd3Ni5H12 (PBE-GGA).

a = 11.0435 Å, b = 11.0435 Å, c = 11.0435 Å
α = 90.00°, β = 90.00°, γ = 90.00°
With the nearest neighbours (Å) after each atom.
Space group Ia-3d (No. 230)
Asymmetric unit:
Cd 0.0000 0.2500 0.1250 [24 per cell]  8 H 2.21-2.37
Ni 0.0000 0.0000 0.0000 [16 per cell]  6 H 1.66
Ni 0.0000 0.2500 0.3750 [24 per cell]  4 H 1.61
H 0.0377 0.0393 0.6403 [96 per cell]  2 Ni 1.61-1.66

Output
**Spin magnetization**: 0.00 Bohr magnetons per cell
**Energy**: -3.42 eV per atom

=====

# 2
Entry from Alexandria via LeMat-Bulk: a relaxed structure of CdNi3H2 (PBE-GGA).

a = 5.3174 Å, b = 5.3174 Å, c = 14.1632 Å
α = 90.00°, β = 90.00°, γ = 120.00°
With the nearest neighbours (Å) after each atom.
Space group R-3m (No. 166, hexagonal axes)
Asymmetric unit:
Cd 0.0000 0.0000 0.2151 [6 per cell]  3 H 2.27
Ni 0.0177 0.5089 0.2635 [18 per cell]  3 H 1.79-1.90
H 0.0000 0.0000 0.0000 [3 per cell]  6 Ni 1.90
H 0.0000 0.5000 0.0000 [9 per cell]  4 Ni 1.79

Output
**Spin magnetization**: 0.00 Bohr magnetons per cell
**Energy**: -4.09 eV per atom

=====

# 3
Entry from Alexandria via LeMat-Bulk: a relaxed structure of CdNiH2 (PBE-GGA).

a = 2.7715 Å, b = 2.7715 Å, c = 19.2441 Å
α = 90.00°, β = 90.00°, γ = 120.00°
With the nearest neighbours (Å) after each atom.
Space group R3m (No. 160, hexagonal axes)
Asymmetric unit:
Cd 0.0000 0.0000 0.0000 [3 per cell]  6 Cd 2.77, 3 H 2.88
Ni 0.0000 0.0000 0.8249 [3 per cell]  6 H 1.73-1.74
H 0.0000 0.0000 0.1940 [3 per cell]  3 Ni 1.74
H 0.0000 0.0000 0.4578 [3 per cell]  3 Ni 1.73

Output
**Spin magnetization**: 0.00 Bohr magnetons per cell
**Energy**: -3.26 eV per atom